*A*
Material: In2SbAs2
Method: DFT, GGA-PBE
State: optimized geometry

Summary:
Total moment ... 0.00 μB/cell

abc: 4.1932 4.1932 7.8317
angles: 74.47 74.47 90.00
Closest atoms and distances in Å follow each position.
Positions (direct):
Sb 0.0000 0.0000 0.0000  8 As 3.23
As 0.4124 0.4124 0.1753  1 As 2.54
As 0.5876 0.5876 0.8247  1 As 2.54
In 0.7500 0.2500 0.5000  4 In 2.97, 4 As 3.15
In 0.2500 0.7500 0.5000  4 In 2.97, 4 As 3.15

*B*
Material: In2SbAs2
Method: DFT, GGA-PBE
State: optimized geometry

Summary:
Total moment ... 0.00 μB/cell

abc: 8.0137 8.0137 3.8246
angles: 90.00 90.00 90.00
Closest atoms and distances in Å follow each position.
Positions (direct):
Sb 0.0000 0.0000 0.0000  4 As 2.99
Sb 0.5000 0.5000 0.0000  4 As 2.99
As 0.3351 0.8351 0.0000  6 In 2.89-3.13, 2 Sb 2.99
As 0.8351 0.6649 0.0000  6 In 2.89-3.13, 2 Sb 2.99
As 0.6649 0.1649 0.0000  6 In 2.89-3.13, 2 Sb 2.99
As 0.1649 0.3351 0.0000  6 In 2.89-3.13, 2 Sb 2.99
In 0.1433 0.6433 0.5000  6 As 2.89-3.13
In 0.6433 0.8567 0.5000  6 As 2.89-3.13
In 0.8567 0.3567 0.5000  6 As 2.89-3.13
In 0.3567 0.1433 0.5000  6 As 2.89-3.13

Bottom line: *B*, by a margin of 0.150 eV/atom.

*A*
Material: In2Sb2As
Method: DFT, GGA-PBE
State: optimized geometry

Summary:
Total moment ... 0.00 μB/cell

abc: 8.0277 8.0277 4.2890
angles: 90.00 90.00 90.00
Closest atoms and distances in Å follow each position.
Positions (direct):
Sb 0.3269 0.8269 0.0000  2 As 2.97, 6 In 3.02-3.31
Sb 0.8269 0.6731 0.0000  2 As 2.97, 6 In 3.02-3.31
Sb 0.6731 0.1731 0.0000  2 As 2.97, 6 In 3.02-3.31
Sb 0.1731 0.3269 0.0000  2 As 2.97, 6 In 3.02-3.31
As 0.0000 0.0000 0.0000  4 Sb 2.97
As 0.5000 0.5000 0.0000  4 Sb 2.97
In 0.1399 0.6399 0.5000  6 Sb 3.02-3.31, 1 In 3.18
In 0.6399 0.8601 0.5000  6 Sb 3.02-3.31, 1 In 3.18
In 0.8601 0.3601 0.5000  6 Sb 3.02-3.31, 1 In 3.18
In 0.3601 0.1399 0.5000  6 Sb 3.02-3.31, 1 In 3.18

*B*
Material: In2Sb2As
Method: DFT, GGA-PBE
State: optimized geometry

Summary:
Total moment ... 0.00 μB/cell

abc: 7.8117 7.8117 4.6156
angles: 90.00 90.00 90.00
Closest atoms and distances in Å follow each position.
Positions (direct):
Sb 0.1292 0.6292 0.5000  1 Sb 2.86, 2 In 3.19
Sb 0.6292 0.8708 0.5000  1 Sb 2.86, 2 In 3.19
Sb 0.8708 0.3708 0.5000  1 Sb 2.86, 2 In 3.19
Sb 0.3708 0.1292 0.5000  1 Sb 2.86, 2 In 3.19
As 0.0000 0.0000 0.0000  4 In 2.89
As 0.5000 0.5000 0.0000  4 In 2.89
In 0.3282 0.8282 0.0000  2 As 2.89, 2 Sb 3.19
In 0.8282 0.6718 0.0000  2 As 2.89, 2 Sb 3.19
In 0.6718 0.1718 0.0000  2 As 2.89, 2 Sb 3.19
In 0.1718 0.3282 0.0000  2 As 2.89, 2 Sb 3.19

Bottom line: *A*, by a margin of 0.092 eV/atom.

*A*
Material: InSbTe2As
Method: DFT, GGA-PBE
State: optimized geometry

Summary:
Total moment ... 0.00 μB/cell

abc: 5.6237 5.6237 5.2993
angles: 90.00 90.00 90.00
Closest atoms and distances in Å follow each position.
Positions (direct):
Sb 0.0000 0.0000 0.5000  2 As 2.65
As 0.0000 0.0000 0.0000  2 Sb 2.65, 4 Te 2.81
Te 0.0000 0.5000 0.0000  2 As 2.81
Te 0.5000 0.0000 0.0000  2 As 2.81
In 0.5000 0.5000 0.5000  8 Te 3.86, 4 Sb 3.98

*B*
Material: InSbTe2As
Method: DFT, GGA-PBE
State: optimized geometry

Summary:
Total moment ... 0.30 μB/cell

abc: 5.5901 5.5901 5.6461
angles: 90.00 90.00 90.00
Closest atoms and distances in Å follow each position.
Positions (direct):
Sb 0.0000 0.0000 0.5000  2 In 2.82
As 0.5000 0.5000 0.5000  4 Sb 3.95, 8 Te 3.97
Te 0.0000 0.5000 0.0000  2 In 2.80
Te 0.5000 0.0000 0.0000  2 In 2.80
In 0.0000 0.0000 0.0000  4 Te 2.80, 2 Sb 2.82

Bottom line: *A*, by a margin of 0.522 eV/atom.

*A*
Material: InAs2Se
Method: DFT, GGA-PBE
State: optimized geometry

Summary:
Total moment ... 0.00 μB/cell

abc: 6.8237 6.8237 4.0872
angles: 93.59 93.59 31.43
Closest atoms and distances in Å follow each position.
Positions (direct):
As 0.0447 0.0447 0.8618  2 As 2.78, 4 In 2.87-2.89
As 0.7023 0.7023 0.9343  2 Se 2.64, 2 As 2.78
Se 0.2713 0.2713 0.3516  2 As 2.64, 1 In 2.76
In 0.4817 0.4817 0.3523  1 Se 2.76, 4 As 2.87-2.89

*B*
Material: InAs2Se
Method: DFT, GGA-PBE
State: optimized geometry

Summary:
Total moment ... 0.00 μB/cell

abc: 7.2220 3.8165 3.8165
angles: 90.00 90.00 90.00
Closest atoms and distances in Å follow each position.
Positions (direct):
As 0.0000 0.0000 0.0000  4 As 2.70
As 0.0000 0.5000 0.5000  4 As 2.70
Se 0.5000 0.0000 0.5000  4 In 2.70
In 0.5000 0.5000 0.0000  4 Se 2.70

Bottom line: *A*, by a margin of 0.128 eV/atom.

*A*
Material: InAs2Se
Method: DFT, GGA-PBE
State: optimized geometry

Summary:
Total moment ... 0.00 μB/cell

abc: 3.5082 3.5082 7.9312
angles: 90.00 90.00 112.16
Closest atoms and distances in Å follow each position.
Positions (direct):
As 0.0000 0.0000 0.9877  2 Se 2.72, 2 In 2.86
As 0.0000 0.0000 0.5123  2 Se 2.72, 2 In 2.86
Se 0.5000 0.5000 0.7500  4 As 2.72
In 0.5000 0.5000 0.2500  4 As 2.86

*B*
Material: InAs2Se
Method: DFT, GGA-PBE
State: optimized geometry

Summary:
Total moment ... 0.00 μB/cell

abc: 5.6256 4.0316 4.0144
angles: 90.01 90.00 90.00
Closest atoms and distances in Å follow each position.
Positions (direct):
As 0.0000 0.1251 0.1246  2 As 2.81, 4 In 2.84-2.85
As 0.5000 0.1245 0.1255  2 As 2.81, 4 Se 2.84-2.85
Se 0.5000 0.6248 0.6257  2 In 2.81, 4 As 2.84-2.85
In 0.0000 0.6255 0.6242  2 Se 2.81, 4 As 2.84-2.85

*C*
Material: InAs2Se
Method: DFT, GGA-PBE
State: optimized geometry

Summary:
Total moment ... 0.00 μB/cell

abc: 8.1335 8.1335 8.1335
angles: 152.90 152.90 38.70
Closest atoms and distances in Å follow each position.
Positions (direct):
As 0.0000 0.0000 0.0000  4 As 2.69
As 0.5000 0.5000 0.0000  4 As 2.69
Se 0.7500 0.2500 0.5000  4 In 2.69
In 0.2500 0.7500 0.5000  4 Se 2.69

Bottom line: *B*, by a margin of 0.240 eV/atom.

*A*
Material: In3AsSe
Method: DFT, GGA-PBE
State: optimized geometry

Summary:
Total moment ... 0.00 μB/cell

abc: 5.4352 5.4352 5.4352
angles: 90.00 90.00 90.00
Closest atoms and distances in Å follow each position.
Positions (direct):
As 0.0000 0.0000 0.0000  6 In 2.72
Se 0.5000 0.5000 0.5000  12 In 3.84
In 0.0000 0.5000 0.0000  2 As 2.72
In 0.0000 0.0000 0.5000  2 As 2.72
In 0.5000 0.0000 0.0000  2 As 2.72

*B*
Material: In3AsSe
Method: DFT, GGA-PBE
State: optimized geometry

Summary:
Total moment ... 0.00 μB/cell

abc: 5.4581 5.4581 5.4581
angles: 90.00 90.00 90.00
Closest atoms and distances in Å follow each position.
Positions (direct):
As 0.5000 0.5000 0.5000  12 In 3.86
Se 0.0000 0.0000 0.0000  6 In 2.73
In 0.0000 0.5000 0.0000  2 Se 2.73
In 0.0000 0.0000 0.5000  2 Se 2.73
In 0.5000 0.0000 0.0000  2 Se 2.73

Bottom line: *A*, by a margin of 0.260 eV/atom.

*A*
Material: SrInAs2Se
Method: DFT, GGA-PBE
State: optimized geometry

Summary:
Total moment ... 1.52 μB/cell

abc: 5.8697 5.8697 5.8497
angles: 90.00 90.00 90.00
Closest atoms and distances in Å follow each position.
Positions (direct):
Sr 0.0000 0.0000 0.0000  2 Se 2.92, 4 As 2.93
As 0.0000 0.5000 0.0000  2 Sr 2.93
As 0.5000 0.0000 0.0000  2 Sr 2.93
Se 0.0000 0.0000 0.5000  2 Sr 2.92
In 0.5000 0.5000 0.5000  8 As 4.14, 4 Se 4.15

*B*
Material: SrInAs2Se
Method: DFT, GGA-PBE
State: optimized geometry

Summary:
Total moment ... 0.00 μB/cell

abc: 5.2538 5.2538 5.5227
angles: 90.00 90.00 90.00
Closest atoms and distances in Å follow each position.
Positions (direct):
Sr 0.5000 0.5000 0.5000  4 Se 3.71, 8 As 3.81
As 0.0000 0.5000 0.0000  2 In 2.63
As 0.5000 0.0000 0.0000  2 In 2.63
Se 0.0000 0.0000 0.5000  2 In 2.76
In 0.0000 0.0000 0.0000  4 As 2.63, 2 Se 2.76

Bottom line: *B*, by a margin of 0.599 eV/atom.

*A*
Material: TaInAsSe2
Method: DFT, GGA-PBE
State: optimized geometry

Summary:
Total moment ... 0.00 μB/cell

abc: 5.0653 5.0653 5.1146
angles: 90.00 90.00 90.00
Closest atoms and distances in Å follow each position.
Positions (direct):
As 0.0000 0.0000 0.5000  2 Ta 2.56
In 0.5000 0.5000 0.5000  4 As 3.58, 8 Se 3.60
Se 0.0000 0.5000 0.0000  2 Ta 2.53
Se 0.5000 0.0000 0.0000  2 Ta 2.53
Ta 0.0000 0.0000 0.0000  4 Se 2.53, 2 As 2.56

*B*
Material: TaInAsSe2
Method: DFT, GGA-PBE
State: optimized geometry

Summary:
Total moment ... 0.13 μB/cell

abc: 5.2553 5.2553 5.2062
angles: 90.00 90.00 90.00
Closest atoms and distances in Å follow each position.
Positions (direct):
As 0.0000 0.0000 0.5000  2 In 2.60
In 0.0000 0.0000 0.0000  2 As 2.60, 4 Se 2.63
Se 0.0000 0.5000 0.0000  2 In 2.63
Se 0.5000 0.0000 0.0000  2 In 2.63
Ta 0.5000 0.5000 0.5000  8 Se 3.70, 4 As 3.72

Bottom line: *A*, by a margin of 1.454 eV/atom.

*A*
Material: ZnInAsSe2
Method: DFT, GGA-PBE
State: optimized geometry

Summary:
Total moment ... 0.93 μB/cell

abc: 5.2821 5.2821 5.3758
angles: 90.00 90.00 90.00
Closest atoms and distances in Å follow each position.
Positions (direct):
As 0.0000 0.0000 0.5000  2 In 2.69
Zn 0.5000 0.5000 0.5000  4 As 3.74, 8 Se 3.77
Se 0.0000 0.5000 0.0000  2 In 2.64
Se 0.5000 0.0000 0.0000  2 In 2.64
In 0.0000 0.0000 0.0000  4 Se 2.64, 2 As 2.69

*B*
Material: ZnInAsSe2
Method: DFT, GGA-PBE
State: optimized geometry

Summary:
Total moment ... 0.00 μB/cell

abc: 5.1026 5.1026 4.8155
angles: 90.00 90.00 90.00
Closest atoms and distances in Å follow each position.
Positions (direct):
As 0.0000 0.0000 0.5000  2 Zn 2.41
Zn 0.0000 0.0000 0.0000  2 As 2.41, 4 Se 2.55
Se 0.0000 0.5000 0.0000  2 Zn 2.55
Se 0.5000 0.0000 0.0000  2 Zn 2.55
In 0.5000 0.5000 0.5000  8 Se 3.51, 4 As 3.61

Bottom line: *B*, by a margin of 0.371 eV/atom.

*A*
Material: InSi2As
Method: DFT, GGA-PBE
State: optimized geometry

Summary:
Total moment ... 0.00 μB/cell

abc: 5.1094 3.9950 3.9848
angles: 83.95 90.00 90.00
Closest atoms and distances in Å follow each position.
Positions (direct):
As 0.0000 0.5060 0.5073  3 Si 2.46-2.73
In 0.5000 0.7160 0.7168  3 Si 2.67-2.78, 2 As 2.84
Si 0.0000 0.0934 0.0903  3 As 2.46-2.73, 2 Si 2.61
Si 0.5000 0.1847 0.1856  2 Si 2.61, 3 In 2.67-2.78

*B*
Material: InSi2As
Method: DFT, GGA-PBE
State: optimized geometry

Summary:
Total moment ... 0.00 μB/cell

abc: 5.4833 5.4833 5.4833
angles: 143.55 126.36 66.59
Closest atoms and distances in Å follow each position.
Positions (direct):
As 0.4526 0.4526 0.0000  2 Si 2.54
In 0.7543 0.2543 0.5000  8 Si 3.01-3.17, 4 As 3.07-3.25
Si 0.0446 0.0446 0.0000  2 Si 2.54
Si 0.2485 0.7485 0.5000  2 Si 2.54, 2 As 2.54

Bottom line: *A*, by a margin of 0.128 eV/atom.

*A*
Material: InSiAs3
Method: DFT, GGA-PBE
State: optimized geometry

Summary:
Total moment ... 0.00 μB/cell

abc: 5.1786 5.1786 5.1786
angles: 90.00 90.00 90.00
Closest atoms and distances in Å follow each position.
Positions (direct):
As 0.0000 0.5000 0.0000  2 In 2.59
As 0.0000 0.0000 0.5000  2 In 2.59
As 0.5000 0.0000 0.0000  2 In 2.59
Si 0.5000 0.5000 0.5000  12 As 3.66
In 0.0000 0.0000 0.0000  6 As 2.59

*B*
Material: InSiAs3
Method: DFT, GGA-PBE
State: optimized geometry

Summary:
Total moment ... 0.00 μB/cell

abc: 4.8606 4.8606 4.8606
angles: 90.00 90.00 90.00
Closest atoms and distances in Å follow each position.
Positions (direct):
As 0.0000 0.5000 0.0000  2 Si 2.43
As 0.0000 0.0000 0.5000  2 Si 2.43
As 0.5000 0.0000 0.0000  2 Si 2.43
Si 0.0000 0.0000 0.0000  6 As 2.43
In 0.5000 0.5000 0.5000  12 As 3.44

Bottom line: *B*, by a margin of 0.719 eV/atom.

*A*
Material: InSn3As
Method: DFT, GGA-PBE
State: optimized geometry

Summary:
Total moment ... 0.00 μB/cell

abc: 5.5441 5.5441 5.5441
angles: 90.00 90.00 90.00
Closest atoms and distances in Å follow each position.
Positions (direct):
As 0.5000 0.5000 0.5000  12 Sn 3.92
Sn 0.0000 0.5000 0.0000  2 In 2.77
Sn 0.0000 0.0000 0.5000  2 In 2.77
Sn 0.5000 0.0000 0.0000  2 In 2.77
In 0.0000 0.0000 0.0000  6 Sn 2.77

*B*
Material: InSn3As
Method: DFT, GGA-PBE
State: optimized geometry

Summary:
Total moment ... 0.00 μB/cell

abc: 5.4642 5.4642 5.4642
angles: 90.00 90.00 90.00
Closest atoms and distances in Å follow each position.
Positions (direct):
As 0.0000 0.0000 0.0000  6 Sn 2.73
Sn 0.0000 0.5000 0.0000  2 As 2.73
Sn 0.0000 0.0000 0.5000  2 As 2.73
Sn 0.5000 0.0000 0.0000  2 As 2.73
In 0.5000 0.5000 0.5000  12 Sn 3.86

Bottom line: *B*, by a margin of 0.343 eV/atom.

*A*
Material: In2SnAs2
Method: DFT, GGA-PBE
State: optimized geometry

Summary:
Total moment ... 0.00 μB/cell

abc: 8.0060 8.0060 3.7877
angles: 90.00 90.00 90.00
Closest atoms and distances in Å follow each position.
Positions (direct):
As 0.3416 0.8416 0.0000  6 In 2.91-3.09, 2 Sn 3.01
As 0.8416 0.6584 0.0000  6 In 2.91-3.09, 2 Sn 3.01
As 0.6584 0.1584 0.0000  6 In 2.91-3.09, 2 Sn 3.01
As 0.1584 0.3416 0.0000  6 In 2.91-3.09, 2 Sn 3.01
Sn 0.0000 0.0000 0.0000  4 As 3.01
Sn 0.5000 0.5000 0.0000  4 As 3.01
In 0.1460 0.6460 0.5000  6 As 2.91-3.09
In 0.6460 0.8540 0.5000  6 As 2.91-3.09
In 0.8540 0.3540 0.5000  6 As 2.91-3.09
In 0.3540 0.1460 0.5000  6 As 2.91-3.09

*B*
Material: In2SnAs2
Method: DFT, GGA-PBE
State: optimized geometry

Summary:
Total moment ... 0.00 μB/cell

abc: 4.3263 4.3263 7.6024
angles: 73.47 73.47 90.00
Closest atoms and distances in Å follow each position.
Positions (direct):
As 0.4088 0.4088 0.1824  1 As 2.54
As 0.5912 0.5912 0.8176  1 As 2.54
Sn 0.0000 0.0000 0.0000  8 As 3.31
In 0.7500 0.2500 0.5000  4 In 3.06, 4 As 3.09
In 0.2500 0.7500 0.5000  4 In 3.06, 4 As 3.09

*C*
Material: In2SnAs2
Method: DFT, GGA-PBE
State: optimized geometry

Summary:
Total moment ... 0.00 μB/cell

abc: 3.8484 3.8484 9.0525
angles: 77.73 77.73 90.00
Closest atoms and distances in Å follow each position.
Positions (direct):
As 0.7500 0.2500 0.5000  4 As 2.72
As 0.2500 0.7500 0.5000  4 As 2.72
Sn 0.0000 0.0000 0.0000  8 In 3.30
In 0.3918 0.3918 0.2164  4 As 3.11, 4 Sn 3.30
In 0.6082 0.6082 0.7836  4 As 3.11, 4 Sn 3.30

Bottom line: *A*, by a margin of 0.061 eV/atom.